{"formula": "Gd2YRe", "functional": "PBE", "state": "relaxed", "delta_e_f_ev_per_atom": 0.36, "sg": "No. 166", "cell": [[1.7339, 1.0011, 10.4602], [-1.7339, 1.0011, 10.4602], [0.0000, -2.0022, 10.4602]], "species": ["Gd", "Gd", "Y", "Re"], "frac_coords": [[0.2328, 0.2328, 0.2328], [0.7672, 0.7672, 0.7672], [0.0000, 0.0000, 0.0000], [0.5000, 0.5000, 0.5000]]}

{"formula": "Pr2OsRhO8", "functional": "PBE", "state": "relaxed", "formation_energy_uncorrected_ev_per_atom": -1.91, "sg": "No. 2", "cell": [[4.8834, 0.0000, 0.0000], [1.9284, 5.7848, 0.0000], [1.7297, 1.0740, 5.8727]], "species": ["Pr", "Pr", "Os", "Rh", "O", "O", "O", "O", "O", "O", "O", "O"], "frac_coords": [[0.1212, 0.1461, 0.1770], [0.8788, 0.8539, 0.8230], [0.5000, 0.5000, 0.5000], [0.5000, 0.5000, 0.0000], [0.2550, 0.4435, 0.8106], [0.2626, 0.8093, 0.4669], [0.2826, 0.4203, 0.3297], [0.3098, 0.8563, 0.9484], [0.6902, 0.1437, 0.0516], [0.7174, 0.5797, 0.6703], [0.7374, 0.1907, 0.5331], [0.7450, 0.5565, 0.1894]]}